Density functional theory data (GGA+U) for an optimized crystal structure of TlV2O4.

a b c (Å): 6.635 6.149 6.632
angles (deg): 122.40 119.96 90.26
Each line ends with the local moment (μB).
Fractional coordinates of all 14 atoms:
Tl 0.230 0.691 0.461  0.02
Tl 0.020 0.059 0.039  0.02
V 0.625 0.375 0.750  1.96
V 0.625 0.875 0.250  1.85
V 0.625 0.375 0.250  1.96
V 0.125 0.375 0.750  1.96
O 0.853 0.157 0.304  -0.04
O 0.397 0.593 0.196  -0.04
O 0.867 0.601 0.735  -0.02
O 0.851 0.153 0.703  -0.04
O 0.450 0.154 0.302  -0.04
O 0.383 0.149 0.765  -0.02
O 0.399 0.597 0.797  -0.04
O 0.800 0.596 0.198  -0.04

* size of the total moment: 3.992 μB/f.u.
* uncorrected energy: -6.89 eV/atom